An optimized crystal structure of La3CrPd. Source: Alexandria via LeMat-Bulk, functional GGA-PBE.

Structure (extended XYZ):
```
5
Lattice="5.226 0.000 0.000 0.000 5.226 0.000 0.000 0.000 5.226" Properties=species:S:1:pos:R:3 pbc="T T T"
La 0.000 0.000 2.613
La 0.000 2.613 0.000
La 2.613 0.000 0.000
Cr 0.000 0.000 0.000
Pd 2.613 2.613 2.613
```

Summary:
spin magnetization = 0.00 μB per atom
space group = Pm-3m
raw total energy = -5.743 eV/atom
formation energy from the elements = 0.1763 eV/atom

An optimized crystal structure of Be2Nb2Al. Source: Alexandria via LeMat-Bulk, functional GGA-PBE.

Structure (extended XYZ):
```
5
Lattice="-1.754 1.754 6.323 1.754 -1.754 6.323 1.754 1.754 -6.323" Properties=species:S:1:pos:R:3 pbc="T T T"
Be 1.754 0.000 3.162
Be 0.000 1.754 3.162
Nb 0.000 0.000 1.253
Nb 0.000 0.000 11.393
Al 0.000 0.000 6.323
```

Summary:
spin magnetization = 0.00 μB per atom
space group = I4/mmm
raw total energy = -5.787 eV/atom
formation energy from the elements = 0.4801 eV/atom
energy relative to the lowest polymorph listed for this composition = 762 meV per atom

An optimized crystal structure of OsI2O. Source: Alexandria via LeMat-Bulk, functional GGA-PBE.

Structure (extended XYZ):
```
8
Lattice="-3.203 3.203 4.697 3.203 -3.203 4.697 3.203 3.203 -4.697" Properties=species:S:1:pos:R:3 pbc="T T T"
Os 0.000 0.000 0.000
Os 0.000 3.203 2.348
I 4.804 1.595 -1.174
I 1.595 1.601 1.174
I -1.601 1.607 3.523
I 1.607 1.601 5.871
O 3.203 0.000 2.348
O 0.000 0.000 4.697
```

Summary:
spin magnetization = 0.00 μB per atom
space group = I-42d
raw total energy = -3.954 eV/atom
uncorrected formation energy = 0.868 eV per atom

The calculation returns the following N(E_F) values, one per record and in order: 8.061, 3.546, 4.453 states/eV/cell.